[1]
Entry from OQMD via LeMat-Bulk: an optimized crystal structure of TmLuInTe3 (PBE).

Geometry as extended XYZ:
```
12
Lattice="2.1232 -7.6211 0.0000 2.1232 7.6211 0.0000 0.0000 0.0000 11.9203" Properties=species:S:1:pos:R:3 pbc="T T T"
Tm 2.1232 6.2928 8.9403
Tm 2.1232 -6.2928 2.9801
Lu 2.1232 0.0000 0.0000
Lu 2.1232 0.0000 5.9602
In 2.1232 3.9174 2.9801
In 2.1232 -3.9174 8.9403
Te 2.1232 5.4542 6.1467
Te 2.1232 5.4542 11.7338
Te 2.1232 0.7717 8.9403
Te 2.1232 -0.7717 2.9801
Te 2.1232 -5.4542 0.1865
Te 2.1232 -5.4542 5.7736
```

---

[2]
Entry from OQMD via LeMat-Bulk: an optimized crystal structure of TmLuInTe3 (PBE).

Geometry as extended XYZ:
```
12
Lattice="9.3503 -2.1363 0.0000 9.3503 2.1363 0.0000 -2.3233 0.0000 9.7431" Properties=species:S:1:pos:R:3 pbc="T T T"
Tm 3.0159 0.0000 0.7213
Tm 13.3614 0.0000 9.0218
Lu 7.4657 0.0000 7.6922
Lu 8.9115 0.0000 2.0508
In 1.3540 0.0000 5.3529
In 15.0232 0.0000 4.3902
Te 0.0000 0.0000 0.0000
Te 4.5761 0.0000 6.9365
Te 5.9307 0.0000 1.4605
Te 8.1886 0.0000 4.8715
Te 10.4465 0.0000 8.2825
Te 11.8012 0.0000 2.8066
```

---

Number 1: ΔE to the lowest computed polymorph 39 meV/atom, total energy -4.418 eV/atom. Number 2: ΔE to the lowest computed polymorph 0 meV/atom, total energy -4.457 eV/atom.